[1]
Density functional theory data (PBE) for a relaxed KMg2Cd2 crystal.

**Total energy**: -1.24 eV per atom
**Polymorph energy (0 for the lowest one)**: 27 meV per atom
**Energy of formation from the pure elements**: -21 meV/atom
**Theoretical density**: 3.482 Mg/m³

Cell: 4.7942 4.7942 12.9686 Å, 90.00 90.00 90.00°
Last column: nearest neighbours and their distance in Å.
Atoms (fractional coordinates):
K (0.0000, 0.0000, 0.0000)  8 Cd 3.69, 8 Mg 4.03
K (0.5000, 0.5000, 0.5000)  8 Cd 3.69, 8 Mg 4.03
Mg (0.0000, 0.5000, 0.2500)  4 Cd 2.99
Mg (0.0000, 0.5000, 0.7500)  4 Cd 2.99
Mg (0.5000, 0.0000, 0.2500)  4 Cd 2.99
Mg (0.5000, 0.0000, 0.7500)  4 Cd 2.99
Cd (0.0000, 0.0000, 0.3876)  1 Cd 2.92, 4 Mg 2.99
Cd (0.0000, 0.0000, 0.6124)  1 Cd 2.92, 4 Mg 2.99
Cd (0.5000, 0.5000, 0.1124)  1 Cd 2.92, 4 Mg 2.99
Cd (0.5000, 0.5000, 0.8876)  1 Cd 2.92, 4 Mg 2.99

=====

[2]
Density functional theory data (PBE) for a relaxed KMg2Cd crystal.

**Total energy**: -1.25 eV per atom
**Energy of formation from the pure elements**: 54 meV/atom
**Theoretical density**: 2.791 Mg/m³

Cell: 3.3008 4.1625 8.6660 Å, 90.00 90.48 90.00°
Last column: nearest neighbours and their distance in Å.
Atoms (fractional coordinates):
K (0.0000, 0.0000, 0.0000)  2 K 3.30, 2 Cd 3.69
Mg (0.4948, 0.5000, 0.3261)  6 Mg 3.17-3.30, 1 Cd 3.27
Mg (0.9966, 0.0000, 0.5261)  4 Cd 3.07, 6 Mg 3.17-3.30
Cd (0.4993, 0.5000, 0.7035)  5 Mg 3.07-3.27, 2 Cd 3.30

=====

[3]
Density functional theory data (PBE) for a relaxed KMg2Cd crystal.

**Total energy**: -1.13 eV per atom
**Energy of formation from the pure elements**: 167 meV/atom
**Theoretical density**: 2.777 Mg/m³

Cell: 3.5623 3.5623 32.6714 Å, 90.00 90.00 120.00°
Last column: nearest neighbours and their distance in Å.
Atoms (fractional coordinates):
K (0.0000, 0.0000, 0.0000)  6 K 3.56, 3 Cd 3.64, 3 Mg 3.87
K (0.3333, 0.6667, 0.6667)  6 K 3.56, 3 Cd 3.64, 3 Mg 3.87
K (0.6667, 0.3333, 0.3333)  6 K 3.56, 3 Cd 3.64, 3 Mg 3.87
Mg (0.0000, 0.0000, 0.2331)  3 Mg 3.15
Mg (0.0000, 0.0000, 0.4933)  3 Cd 3.03, 3 Mg 3.15
Mg (0.3333, 0.6667, 0.1600)  3 Cd 3.03, 3 Mg 3.15
Mg (0.3333, 0.6667, 0.8998)  3 Mg 3.15
Mg (0.6667, 0.3333, 0.5664)  3 Mg 3.15
Mg (0.6667, 0.3333, 0.8266)  3 Cd 3.03, 3 Mg 3.15
Cd (0.0000, 0.0000, 0.7586)  3 Mg 3.03
Cd (0.3333, 0.6667, 0.4252)  3 Mg 3.03
Cd (0.6667, 0.3333, 0.0919)  3 Mg 3.03

=====

[4]
Density functional theory data (PBE) for a relaxed K2MgCd crystal.

**Total energy**: -1.06 eV per atom
**Polymorph energy (0 for the lowest one)**: 77 meV per atom
**Energy of formation from the pure elements**: 115 meV/atom
**Theoretical density**: 2.416 Mg/m³

Cell: 6.0022 6.0022 8.1995 Å, 90.00 90.00 90.00°
Last column: nearest neighbours and their distance in Å.
Atoms (fractional coordinates):
K (0.0000, 0.0000, 0.0000)  4 K 3.63, 4 Mg 3.63
K (0.0000, 0.5000, 0.2500)  4 Cd 3.63, 4 K 3.63
K (0.5000, 0.0000, 0.7500)  4 Cd 3.63, 4 K 3.63
K (0.5000, 0.5000, 0.5000)  4 K 3.63, 4 Mg 3.63
Mg (0.0000, 0.5000, 0.7500)  4 Cd 3.63, 4 K 3.63
Mg (0.5000, 0.0000, 0.2500)  4 Cd 3.63, 4 K 3.63
Cd (0.0000, 0.0000, 0.5000)  4 K 3.63, 4 Mg 3.63
Cd (0.5000, 0.5000, 0.0000)  4 K 3.63, 4 Mg 3.63

=====

[5]
Density functional theory data (PBE) for a relaxed KMgCd2 crystal.

**Total energy**: -1.05 eV per atom
**Energy of formation from the pure elements**: 82 meV/atom
**Theoretical density**: 4.303 Mg/m³

Cell: 5.4138 5.4138 7.5889 Å, 90.00 90.00 90.00°
Last column: nearest neighbours and their distance in Å.
Atoms (fractional coordinates):
K (0.0000, 0.0000, 0.0000)  4 Cd 3.31, 4 Mg 3.31
K (0.5000, 0.5000, 0.5000)  4 Cd 3.31, 4 Mg 3.31
Mg (0.0000, 0.5000, 0.2500)  4 Cd 3.31, 4 K 3.31
Mg (0.5000, 0.0000, 0.7500)  4 Cd 3.31, 4 K 3.31
Cd (0.0000, 0.0000, 0.5000)  4 Cd 3.31, 4 Mg 3.31
Cd (0.0000, 0.5000, 0.7500)  4 Cd 3.31, 4 K 3.31
Cd (0.5000, 0.0000, 0.2500)  4 Cd 3.31, 4 K 3.31
Cd (0.5000, 0.5000, 0.0000)  4 Cd 3.31, 4 Mg 3.31

=====

[6]
Density functional theory data (PBE) for a relaxed K2Mg2Cd crystal.

**Total energy**: -1.14 eV per atom
**Polymorph energy (0 for the lowest one)**: 0 meV per atom
**Energy of formation from the pure elements**: 115 meV/atom
**Theoretical density**: 2.149 Mg/m³

Cell: 7.7464 7.7464 6.1599 Å, 90.00 90.00 90.00°
Last column: nearest neighbours and their distance in Å.
Atoms (fractional coordinates):
K (0.1794, 0.3206, 0.0000)  6 Mg 3.64-3.97, 5 K 3.93-4.02
K (0.3206, 0.8206, 0.0000)  6 Mg 3.64-3.97, 5 K 3.93-4.02
K (0.6794, 0.1794, 0.0000)  6 Mg 3.64-3.97, 5 K 3.93-4.02
K (0.8206, 0.6794, 0.0000)  6 Mg 3.64-3.97, 5 K 3.93-4.02
Mg (0.1427, 0.6427, 0.5000)  2 Cd 2.98, 1 Mg 3.13
Mg (0.3573, 0.1427, 0.5000)  2 Cd 2.98, 1 Mg 3.13
Mg (0.6427, 0.8573, 0.5000)  2 Cd 2.98, 1 Mg 3.13
Mg (0.8573, 0.3573, 0.5000)  2 Cd 2.98, 1 Mg 3.13
Cd (0.0000, 0.0000, 0.5000)  4 Mg 2.98
Cd (0.5000, 0.5000, 0.5000)  4 Mg 2.98

=====

[7]
Density functional theory data (PBE) for a relaxed KMg2Cd3 crystal.

**Total energy**: -1.24 eV per atom
**Energy of formation from the pure elements**: -70 meV/atom
**Theoretical density**: 4.086 Mg/m³

Cell: 7.6327 7.6327 6.0322 Å, 90.00 90.00 79.36°
Last column: nearest neighbours and their distance in Å.
Atoms (fractional coordinates):
K (0.1728, 0.8272, 0.7500)  9 Cd 3.71-3.94, 4 Mg 4.03
K (0.8272, 0.1728, 0.2500)  9 Cd 3.71-3.94, 4 Mg 4.03
Mg (0.2835, 0.2835, 0.0000)  6 Cd 2.93-3.03, 2 Mg 3.02
Mg (0.2835, 0.2835, 0.5000)  6 Cd 2.93-3.03, 2 Mg 3.02
Mg (0.7165, 0.7165, 0.0000)  6 Cd 2.93-3.03, 2 Mg 3.02
Mg (0.7165, 0.7165, 0.5000)  6 Cd 2.93-3.03, 2 Mg 3.02
Cd (0.0400, 0.5720, 0.2500)  4 Mg 2.93-3.01, 1 Cd 2.99
Cd (0.4280, 0.9600, 0.2500)  4 Mg 2.93-3.01, 1 Cd 2.99
Cd (0.4328, 0.5672, 0.2500)  4 Cd 2.99-3.29, 4 Mg 3.03
Cd (0.5672, 0.4328, 0.7500)  4 Cd 2.99-3.29, 4 Mg 3.03
Cd (0.5720, 0.0400, 0.7500)  4 Mg 2.93-3.01, 1 Cd 2.99
Cd (0.9600, 0.4280, 0.7500)  4 Mg 2.93-3.01, 1 Cd 2.99

=====

[8]
Density functional theory data (PBE) for a relaxed KMg2Cd2 crystal.

**Total energy**: -1.27 eV per atom
**Polymorph energy (0 for the lowest one)**: 0 meV per atom
**Energy of formation from the pure elements**: -48 meV/atom
**Theoretical density**: 3.955 Mg/m³

Cell: 9.0942 9.0942 3.1728 Å, 90.00 90.00 90.00°
Last column: nearest neighbours and their distance in Å.
Atoms (fractional coordinates):
K (0.0000, 0.0000, 0.0000)  2 K 3.17
K (0.5000, 0.5000, 0.0000)  2 K 3.17
Mg (0.1251, 0.3749, 0.0000)  6 Cd 3.10-3.12, 3 Mg 3.17-3.22
Mg (0.3749, 0.8749, 0.0000)  6 Cd 3.10-3.12, 3 Mg 3.17-3.22
Mg (0.6251, 0.1251, 0.0000)  6 Cd 3.10-3.12, 3 Mg 3.17-3.22
Mg (0.8749, 0.6251, 0.0000)  6 Cd 3.10-3.12, 3 Mg 3.17-3.22
Cd (0.1676, 0.6676, 0.5000)  6 Mg 3.10-3.12, 2 Cd 3.17
Cd (0.3324, 0.1676, 0.5000)  6 Mg 3.10-3.12, 2 Cd 3.17
Cd (0.6676, 0.8324, 0.5000)  6 Mg 3.10-3.12, 2 Cd 3.17
Cd (0.8324, 0.3324, 0.5000)  6 Mg 3.10-3.12, 2 Cd 3.17

=====

[9]
Density functional theory data (PBE) for a relaxed KMg6Cd4 crystal.

**Total energy**: -1.36 eV per atom
**Energy of formation from the pure elements**: -58 meV/atom
**Theoretical density**: 3.748 Mg/m³

Cell: 8.2561 8.2561 4.7623 Å, 90.00 90.00 120.00°
Last column: nearest neighbours and their distance in Å.
Atoms (fractional coordinates):
K (0.0000, 0.0000, 0.0000)  6 Cd 3.78, 12 Mg 3.79-4.16
Mg (0.2063, 0.4127, 0.5000)  4 Cd 2.94-2.99, 2 Mg 3.15
Mg (0.2063, 0.7937, 0.5000)  4 Cd 2.94-2.99, 2 Mg 3.15
Mg (0.5347, 0.0694, 0.0000)  5 Cd 2.88-3.02
Mg (0.5347, 0.4653, 0.0000)  5 Cd 2.88-3.02
Mg (0.5873, 0.7937, 0.5000)  4 Cd 2.94-2.99, 2 Mg 3.15
Mg (0.9306, 0.4653, 0.0000)  5 Cd 2.88-3.02
Cd (0.3333, 0.6667, 0.0000)  9 Mg 2.88-2.99
Cd (0.4108, 0.2054, 0.5000)  6 Mg 2.94-3.02, 2 Cd 3.17
Cd (0.7946, 0.2054, 0.5000)  6 Mg 2.94-3.02, 2 Cd 3.17
Cd (0.7946, 0.5892, 0.5000)  6 Mg 2.94-3.02, 2 Cd 3.17

=====

[10]
Density functional theory data (PBE) for a relaxed K2MgCd crystal.

**Total energy**: -1.04 eV per atom
**Polymorph energy (0 for the lowest one)**: 95 meV per atom
**Energy of formation from the pure elements**: 132 meV/atom
**Theoretical density**: 2.219 Mg/m³

Cell: 5.5789 5.5789 5.1676 Å, 90.00 90.00 90.00°
Last column: nearest neighbours and their distance in Å.
Atoms (fractional coordinates):
K (0.0000, 0.5000, 0.0000)  4 Cd 3.80, 4 Mg 3.80, 4 K 3.94
K (0.5000, 0.0000, 0.0000)  4 Cd 3.80, 4 Mg 3.80, 4 K 3.94
Mg (0.0000, 0.0000, 0.5000)  8 K 3.80, 4 Cd 3.94
Cd (0.5000, 0.5000, 0.5000)  8 K 3.80, 4 Mg 3.94

=====

[11]
Density functional theory data (PBE) for a relaxed K2Mg2Cd crystal.

**Total energy**: -1.10 eV per atom
**Polymorph energy (0 for the lowest one)**: 45 meV per atom
**Energy of formation from the pure elements**: 161 meV/atom
**Theoretical density**: 1.980 Mg/m³

Cell: 4.2465 4.2465 22.2475 Å, 90.00 90.00 90.00°
Last column: nearest neighbours and their distance in Å.
Atoms (fractional coordinates):
K (0.0000, 0.0000, 0.1032)  4 Cd 3.78, 4 Mg 3.90
K (0.0000, 0.0000, 0.8968)  4 Cd 3.78, 4 Mg 3.90
K (0.5000, 0.5000, 0.3968)  4 Cd 3.78, 4 Mg 3.90
K (0.5000, 0.5000, 0.6032)  4 Cd 3.78, 4 Mg 3.90
Mg (0.0000, 0.5000, 0.2500)  4 Mg 3.00
Mg (0.0000, 0.5000, 0.7500)  4 Mg 3.00
Mg (0.5000, 0.0000, 0.2500)  4 Mg 3.00
Mg (0.5000, 0.0000, 0.7500)  4 Mg 3.00
Cd (0.0000, 0.0000, 0.5000)  8 K 3.78
Cd (0.5000, 0.5000, 0.0000)  8 K 3.78

=====

[12]
Density functional theory data (PBE) for a relaxed KMgCd2 crystal.

**Total energy**: -1.09 eV per atom
**Energy of formation from the pure elements**: 38 meV/atom
**Theoretical density**: 3.925 Mg/m³

Cell: 10.1990 3.5428 6.8427 Å, 90.00 99.45 90.00°
Last column: nearest neighbours and their distance in Å.
Atoms (fractional coordinates):
K (0.0000, 0.0000, 0.0000)  5 Cd 3.46-3.82, 2 K 3.54, 3 Mg 3.58-3.81
K (0.5000, 0.5000, 0.0000)  5 Cd 3.46-3.82, 2 K 3.54, 3 Mg 3.58-3.81
Mg (0.2252, 0.0000, 0.6493)  5 Cd 2.99-3.06
Mg (0.7252, 0.5000, 0.6493)  5 Cd 2.99-3.06
Cd (0.2620, 0.5000, 0.3065)  2 Mg 3.01, 3 Cd 3.08-3.25
Cd (0.4938, 0.0000, 0.5045)  3 Mg 2.99-3.06, 3 Cd 3.08-3.25
Cd (0.7620, 0.0000, 0.3065)  2 Mg 3.01, 3 Cd 3.08-3.25
Cd (0.9938, 0.5000, 0.5045)  3 Mg 2.99-3.06, 3 Cd 3.08-3.25

=====

[13]
Density functional theory data (PBE) for a relaxed KMg2Cd crystal.

**Total energy**: -1.20 eV per atom
**Energy of formation from the pure elements**: 98 meV/atom
**Theoretical density**: 2.608 Mg/m³

Cell: 10.3085 3.5478 7.0555 Å, 90.00 99.03 90.00°
Last column: nearest neighbours and their distance in Å.
Atoms (fractional coordinates):
K (0.0000, 0.0000, 0.0000)  2 K 3.55, 3 Cd 3.63-3.69, 5 Mg 3.63-3.86
K (0.5000, 0.5000, 0.0000)  2 K 3.55, 3 Cd 3.63-3.69, 5 Mg 3.63-3.86
Mg (0.2272, 0.0000, 0.6557)  2 Cd 2.99, 3 Mg 3.10-3.15
Mg (0.4916, 0.0000, 0.4842)  3 Cd 3.04-3.15, 3 Mg 3.10-3.15
Mg (0.7272, 0.5000, 0.6557)  2 Cd 2.99, 3 Mg 3.10-3.15
Mg (0.9916, 0.5000, 0.4842)  3 Cd 3.04-3.15, 3 Mg 3.10-3.15
Cd (0.2600, 0.5000, 0.3245)  5 Mg 2.99-3.15
Cd (0.7600, 0.0000, 0.3245)  5 Mg 2.99-3.15